Material: HgAsW2
Method: DFT, PBE
State: optimized geometry

Computed properties:
E_tot   -6.772 eV per atom
Offset from the most stable computed form   0.548 eV/atom
DOS at the Fermi energy   1.61 states/eV/f.u.

Cell: 3.8793 3.8793 10.2751 Å, 79.12 79.12 90.00°
Closest atoms and distances in Å follow each position.
Fractional coordinates of all 8 atoms:
As  0.5000  0.5000  0.0000  4 Hg 2.74, 4 W 2.84
As  0.2500  0.7500  0.5000  4 Hg 2.74, 4 W 2.84
Hg  0.0000  0.0000  0.0000  4 As 2.74, 4 W 2.82
Hg  0.7500  0.2500  0.5000  4 As 2.74, 4 W 2.82
W  0.6329  0.1250  0.2500  4 W 2.70-2.79, 2 Hg 2.82, 2 As 2.84
W  0.1171  0.6250  0.2500  4 W 2.70-2.79, 2 Hg 2.82, 2 As 2.84
W  0.3750  0.3671  0.7500  4 W 2.70-2.79, 2 Hg 2.82, 2 As 2.84
W  0.8750  0.8829  0.7500  4 W 2.70-2.79, 2 Hg 2.82, 2 As 2.84

=====

Material: HgAs2W
Method: DFT, PBE
State: optimized geometry

Computed properties:
E_tot   -5.133 eV per atom
DOS at the Fermi energy   3.91 states/eV/f.u.

Cell: 6.1344 6.1344 7.1412 Å, 64.56 64.56 90.00°
Closest atoms and distances in Å follow each position.
Fractional coordinates of all 8 atoms:
As  0.5747  0.1250  0.2500  2 W 2.42
As  0.1753  0.6250  0.2500  2 W 2.42
As  0.3750  0.4253  0.7500  2 W 2.42
As  0.8750  0.8247  0.7500  2 W 2.42
Hg  0.0000  0.0000  0.0000  4 As 2.79
Hg  0.7500  0.2500  0.5000  4 As 2.79
W  0.5000  0.5000  0.0000  4 As 2.42
W  0.2500  0.7500  0.5000  4 As 2.42

=====

Material: HgAsW2
Method: DFT, PBE
State: optimized geometry

Computed properties:
E_tot   -6.871 eV per atom
Offset from the most stable computed form   0.449 eV/atom
DOS at the Fermi energy   2.98 states/eV/f.u.

Cell: 4.5607 4.5607 4.5607 Å, 60.00 60.00 60.00°
Closest atoms and distances in Å follow each position.
Fractional coordinates of all 4 atoms:
As  0.0000  0.0000  0.0000  8 W 2.79
Hg  0.5000  0.5000  0.5000  8 W 2.79
W  0.2500  0.2500  0.2500  4 Hg 2.79, 4 As 2.79
W  0.7500  0.7500  0.7500  4 Hg 2.79, 4 As 2.79

=====

Material: HgAs2W
Method: DFT, PBE
State: optimized geometry

Computed properties:
E_tot   -5.262 eV per atom
DOS at the Fermi energy   1.77 states/eV/f.u.

Cell: 6.5887 6.5887 6.5887 Å, 153.42 135.31 52.75°
Closest atoms and distances in Å follow each position.
Fractional coordinates of all 4 atoms:
As  0.0776  0.0776  0.0000  2 W 2.54
As  0.4224  0.4224  0.0000  2 W 2.54
Hg  0.7500  0.2500  0.5000  4 W 2.93, 2 Hg 3.03, 4 As 3.23
W  0.2500  0.7500  0.5000  4 As 2.54

=====

Material: HgAsW2
Method: DFT, PBE
State: optimized geometry

Computed properties:
E_tot   -7.126 eV per atom
Offset from the most stable computed form   0.194 eV/atom
DOS at the Fermi energy   1.71 states/eV/f.u.

Cell: 4.5890 2.9953 5.4394 Å, 73.98 90.00 90.00°
Closest atoms and distances in Å follow each position.
Fractional coordinates of all 4 atoms:
As  0.0000  0.3340  0.4572  4 W 2.53-2.59
Hg  0.5000  0.6947  0.7350  3 W 2.72-2.92, 2 Hg 3.00
W  0.0000  0.0367  0.0527  2 As 2.59
W  0.5000  0.4346  0.2552  2 As 2.53, 1 Hg 2.72

=====

Material: HgAsW2
Method: DFT, PBE
State: optimized geometry

Computed properties:
E_tot   -6.994 eV per atom
Offset from the most stable computed form   0.326 eV/atom
DOS at the Fermi energy   2.63 states/eV/f.u.

Cell: 5.7382 5.7382 5.7382 Å, 149.12 133.31 57.03°
Closest atoms and distances in Å follow each position.
Fractional coordinates of all 4 atoms:
As  0.5299  0.5299  0.0000  6 W 2.53-2.80
Hg  0.2665  0.7665  0.5000  6 W 2.76-3.09, 2 Hg 3.06, 2 As 3.06
W  0.9734  0.9734  0.0000  4 As 2.80, 4 W 2.89-3.06, 2 Hg 3.09
W  0.7302  0.2302  0.5000  2 As 2.53, 4 Hg 2.76

=====

Material: HgAs2W
Method: DFT, PBE
State: optimized geometry

Computed properties:
E_tot   -4.886 eV per atom
DOS at the Fermi energy   3.00 states/eV/f.u.

Cell: 4.6713 4.6713 3.3547 Å, 90.00 90.00 81.60°
Closest atoms and distances in Å follow each position.
Fractional coordinates of all 4 atoms:
As  0.0000  0.0000  0.0000  4 W 2.88, 4 Hg 2.88, 2 As 3.05
As  0.5000  0.5000  0.0000  4 Hg 2.88, 4 W 2.88, 2 As 3.05
Hg  0.5000  0.0000  0.5000  8 As 2.88, 2 W 3.05
W  0.0000  0.5000  0.5000  8 As 2.88, 2 Hg 3.05

=====

Material: HgAsW2
Method: DFT, PBE
State: optimized geometry

Computed properties:
E_tot   -6.864 eV per atom
Offset from the most stable computed form   0.456 eV/atom
DOS at the Fermi energy   2.77 states/eV/f.u.

Cell: 5.3983 5.3286 2.9059 Å, 79.24 80.24 117.41°
Closest atoms and distances in Å follow each position.
Fractional coordinates of all 4 atoms:
As  0.0000  0.5000  0.5000  4 W 2.79, 2 Hg 2.84, 2 As 2.91
Hg  0.5000  0.5000  0.0000  4 W 2.79, 2 As 2.84, 2 Hg 2.91
W  0.0000  0.0000  0.0000  2 As 2.79, 2 Hg 2.79, 4 W 2.84-2.91
W  0.5000  0.0000  0.5000  2 Hg 2.79, 2 As 2.79, 4 W 2.84-2.91

=====

Material: HgAsW2
Method: DFT, PBE
State: optimized geometry

Computed properties:
E_tot   -7.122 eV per atom
Offset from the most stable computed form   0.198 eV/atom
DOS at the Fermi energy   2.08 states/eV/f.u.

Cell: 8.9667 8.9667 8.9667 Å, 19.25 19.25 19.25°
Closest atoms and distances in Å follow each position.
Fractional coordinates of all 4 atoms:
As  0.7500  0.7500  0.7500  6 W 2.63
Hg  0.2500  0.2500  0.2500  6 W 2.97, 6 Hg 3.00
W  0.0082  0.0082  0.0082  3 As 2.63
W  0.4918  0.4918  0.4918  3 As 2.63

=====

Material: HgAsW2
Method: DFT, PBE
State: optimized geometry

Computed properties:
E_tot   -7.019 eV per atom
Offset from the most stable computed form   0.302 eV/atom
DOS at the Fermi energy   2.52 states/eV/f.u.

Cell: 4.8557 4.8557 5.1592 Å, 79.01 79.01 38.63°
Closest atoms and distances in Å follow each position.
Fractional coordinates of all 4 atoms:
As  0.4892  0.4892  0.5538  5 W 2.62-2.86, 1 Hg 2.90
Hg  0.2599  0.2599  0.2397  3 As 2.90-3.12, 7 W 2.95-3.11, 2 Hg 3.21
W  0.0162  0.0162  0.9430  2 W 2.59, 2 As 2.62
W  0.7347  0.7347  0.7635  2 W 2.59, 3 As 2.69-2.86

=====

Material: HgAs2W
Method: DFT, PBE
State: optimized geometry

Computed properties:
E_tot   -4.671 eV per atom
DOS at the Fermi energy   3.45 states/eV/f.u.

Cell: 4.7304 4.7304 4.7304 Å, 60.00 60.00 60.00°
Closest atoms and distances in Å follow each position.
Fractional coordinates of all 4 atoms:
As  0.0000  0.0000  0.0000  4 W 2.90, 4 As 2.90
As  0.2500  0.2500  0.2500  4 Hg 2.90, 4 As 2.90
Hg  0.5000  0.5000  0.5000  4 W 2.90, 4 As 2.90
W  0.7500  0.7500  0.7500  4 As 2.90, 4 Hg 2.90

=====

Material: HgAsW2
Method: DFT, PBE
State: optimized geometry

Computed properties:
E_tot   -7.320 eV per atom
Offset from the most stable computed form   0.000 eV/atom
DOS at the Fermi energy   4.04 states/eV/f.u.

Cell: 9.2823 9.2823 9.2823 Å, 19.30 19.30 19.30°
Closest atoms and distances in Å follow each position.
Fractional coordinates of all 4 atoms:
As  0.4871  0.4871  0.4871  3 W 2.70
Hg  0.2544  0.2544  0.2544  3 W 3.06, 6 Hg 3.11, 3 As 3.28
W  0.0119  0.0119  0.0119  3 W 2.58
W  0.7466  0.7466  0.7466  3 W 2.58, 3 As 2.70

=====

Material: HgAsW2
Method: DFT, PBE
State: optimized geometry

Computed properties:
E_tot   -6.827 eV per atom
Offset from the most stable computed form   0.493 eV/atom
DOS at the Fermi energy   3.39 states/eV/f.u.

Cell: 5.0765 5.0765 5.0765 Å, 132.88 132.88 68.84°
Closest atoms and distances in Å follow each position.
Fractional coordinates of all 4 atoms:
As  0.5000  0.5000  0.0000  8 W 2.87-2.92, 4 Hg 2.92
Hg  0.7500  0.2500  0.5000  8 W 2.87-2.92, 4 As 2.92
W  0.0000  0.0000  0.0000  4 As 2.87, 4 W 2.92, 4 Hg 2.92
W  0.2500  0.7500  0.5000  4 Hg 2.87, 4 As 2.92, 4 W 2.92

=====

Material: Hg3AsW
Method: DFT, PBE
State: optimized geometry

Computed properties:
E_tot   -2.237 eV per atom
Offset from the most stable computed form   0.101 eV/atom
DOS at the Fermi energy   2.29 states/eV/f.u.

Cell: 5.2752 5.2752 5.2752 Å, 90.00 90.00 90.00°
Closest atoms and distances in Å follow each position.
Fractional coordinates of all 5 atoms:
As  0.0000  0.0000  0.0000  6 Hg 2.64
Hg  0.0000  0.5000  0.0000  2 As 2.64
Hg  0.0000  0.0000  0.5000  2 As 2.64
Hg  0.5000  0.0000  0.0000  2 As 2.64
W  0.5000  0.5000  0.5000  12 Hg 3.73

=====

Material: HgAsW2
Method: DFT, PBE
State: optimized geometry

Computed properties:
E_tot   -6.673 eV per atom
Offset from the most stable computed form   0.648 eV/atom
DOS at the Fermi energy   4.33 states/eV/f.u.

Cell: 4.6222 3.9353 3.9353 Å, 90.00 90.00 90.00°
Closest atoms and distances in Å follow each position.
Fractional coordinates of all 4 atoms:
As  0.5000  0.5000  0.0000  4 Hg 2.78, 8 W 3.04
Hg  0.5000  0.0000  0.5000  4 As 2.78, 8 W 3.04
W  0.0000  0.0000  0.0000  4 W 2.78, 4 Hg 3.04, 4 As 3.04
W  0.0000  0.5000  0.5000  4 W 2.78, 4 Hg 3.04, 4 As 3.04